No. 1
YSc2Be | GGA-PBE | optimized geometry

## Properties
- Space group: No. 166
- V: 95 Å³/cell

The structure in POSCAR format:
```
YSc2Be
1.0
1.8930 0.0000 10.1888
-0.9465 1.6394 10.1888
-0.9465 -1.6394 10.1888
Sc Y Be
2 1 1
Direct
0.8928 0.8928 0.8928
0.1072 0.1072 0.1072
0.0000 0.0000 0.0000
0.5000 0.5000 0.5000
```

No. 2
RbMgHg3 | GGA-PBE | optimized geometry

## Properties
- Space group: No. 63
- Energy relative to the lowest polymorph listed for this composition: 0.00 eV per formula unit
- V: 310 Å³/cell

The structure in POSCAR format:
```
RbMgHg3
1.0
6.6179 0.0000 0.0000
0.0000 6.6207 -3.1874
0.0000 -0.5467 7.3277
Hg Mg Rb
6 2 2
Direct
0.2500 0.8078 0.1922
0.7500 0.1922 0.8078
0.7500 0.6171 0.8038
0.2500 0.3829 0.1962
0.2500 0.8038 0.6171
0.7500 0.1962 0.3829
0.0000 0.0000 0.0000
0.5000 0.0000 0.0000
0.7500 0.6692 0.3308
0.2500 0.3308 0.6692
```

Short version: calculated total energy = -0.3945; -0.0645 Ry per atom, in the order given.
Short version: energy relative to the elements = 346; -184 meV per atom, in the order given.